Model 1:
VASP calculation (GGA-PBEsol) on a geometry-optimized RhWSeN2 structure.

Cell lengths 3.7692, 3.7692, 5.0774 Å; angles 90.00, 90.00, 90.00 degrees
With the nearest neighbours (Å) after each atom.
Positions (direct):
Rh (0.0000, 0.0000, 0.0000)  4 N 1.88
W (0.5000, 0.5000, 0.5000)  4 Se 2.67
Se (0.0000, 0.0000, 0.5000)  2 Rh 2.54, 4 W 2.67
N (0.0000, 0.5000, 0.0000)  2 Rh 1.88
N (0.5000, 0.0000, 0.0000)  2 Rh 1.88

Summary:
- DOS at the Fermi energy: 0.91 states/eV/atom

---

Model 2:
VASP calculation (GGA-PBEsol) on a geometry-optimized RhWSeN2 structure.

Cell lengths 3.8209, 3.8209, 5.1971 Å; angles 90.00, 90.00, 90.00 degrees
With the nearest neighbours (Å) after each atom.
Positions (direct):
Rh (0.0000, 0.0000, 0.0000)  4 Se 2.70
W (0.5000, 0.5000, 0.5000)  4 N 1.91
Se (0.5000, 0.5000, 0.0000)  2 W 2.60, 4 Rh 2.70
N (0.0000, 0.5000, 0.5000)  2 W 1.91
N (0.5000, 0.0000, 0.5000)  2 W 1.91

Summary:
- DOS at the Fermi energy: 0.83 states/eV/atom

---

Winner for stability: model 2

---

Model 1:
VASP calculation (GGA-PBEsol) on a geometry-optimized TlRhN2 structure.

Cell lengths 6.5740, 6.5740, 6.5740 Å; angles 29.33, 29.33, 29.33 degrees
With the nearest neighbours (Å) after each atom.
Positions (direct):
Tl (0.0000, 0.0000, 0.0000)  6 N 2.34
Rh (0.5000, 0.5000, 0.5000)  2 N 1.80
N (0.4044, 0.4044, 0.4044)  1 Rh 1.80
N (0.5956, 0.5956, 0.5956)  1 Rh 1.80

Summary:
- DOS at the Fermi energy: 0.46 states/eV/atom

---

Model 2:
VASP calculation (GGA-PBEsol) on a geometry-optimized TlRhN2 structure.

Cell lengths 6.6414, 6.6414, 6.6414 Å; angles 27.15, 27.15, 27.15 degrees
With the nearest neighbours (Å) after each atom.
Positions (direct):
Tl (0.0000, 0.0000, 0.0000)  2 N 2.25
Rh (0.5000, 0.5000, 0.5000)  6 N 2.03
N (0.1172, 0.1172, 0.1172)  3 Rh 2.03, 1 Tl 2.25
N (0.8828, 0.8828, 0.8828)  3 Rh 2.03, 1 Tl 2.25

Summary:
- DOS at the Fermi energy: 0.79 states/eV/atom

---

Winner for stability: model 2

---

Model 1:
VASP calculation (GGA-PBEsol) on a geometry-optimized SbS2N structure.

Cell lengths 4.4646, 4.4646, 4.4646 Å; angles 60.00, 60.00, 60.00 degrees
With the nearest neighbours (Å) after each atom.
Positions (direct):
Sb (0.0000, 0.0000, 0.0000)  8 S 2.73
S (0.2500, 0.2500, 0.2500)  4 Sb 2.73, 4 N 2.73
S (0.7500, 0.7500, 0.7500)  4 Sb 2.73, 4 N 2.73
N (0.5000, 0.5000, 0.5000)  8 S 2.73

Summary:
- DOS at the Fermi energy: 0.75 states/eV/atom

---

Model 2:
VASP calculation (GGA-PBEsol) on a geometry-optimized SbS2N structure.

Cell lengths 6.3976, 6.3976, 6.3976 Å; angles 131.40, 131.40, 71.18 degrees
With the nearest neighbours (Å) after each atom.
Positions (direct):
Sb (0.0000, 0.0000, 0.0000)  4 S 2.96
Sb (0.7500, 0.2500, 0.5000)  4 S 2.96
S (0.3131, 0.6250, 0.1881)  2 N 1.88
S (0.3750, 0.5631, 0.6881)  2 N 1.88
S (0.4369, 0.1250, 0.8119)  2 N 1.88
S (0.8750, 0.6869, 0.3119)  2 N 1.88
N (0.2500, 0.7500, 0.5000)  4 S 1.88
N (0.5000, 0.5000, 0.0000)  4 S 1.88

Summary:
- DOS at the Fermi energy: 0.64 states/eV/atom

---

Winner for stability: model 2

---

Model 1:
VASP calculation (GGA-PBEsol) on a geometry-optimized SrTaSN2 structure.

Cell lengths 4.0717, 4.0717, 4.9727 Å; angles 90.00, 90.00, 90.00 degrees
With the nearest neighbours (Å) after each atom.
Positions (direct):
Sr (0.0000, 0.0000, 0.0000)  4 S 2.88, 8 N 3.21
Ta (0.5000, 0.5000, 0.5000)  4 N 2.04
S (0.5000, 0.5000, 0.0000)  2 Ta 2.49
N (0.0000, 0.5000, 0.5000)  2 Ta 2.04
N (0.5000, 0.0000, 0.5000)  2 Ta 2.04

Summary:
- DOS at the Fermi energy: 0.34 states/eV/atom

---

Model 2:
VASP calculation (GGA-PBEsol) on a geometry-optimized SrTaSN2 structure.

Cell lengths 4.1414, 4.1414, 5.2617 Å; angles 90.00, 90.00, 90.00 degrees
With the nearest neighbours (Å) after each atom.
Positions (direct):
Sr (0.0000, 0.0000, 0.0000)  4 N 2.07
Ta (0.5000, 0.5000, 0.5000)  4 S 2.93
S (0.0000, 0.0000, 0.5000)  2 Sr 2.63, 4 Ta 2.93
N (0.0000, 0.5000, 0.0000)  2 Sr 2.07
N (0.5000, 0.0000, 0.0000)  2 Sr 2.07

Summary:
- DOS at the Fermi energy: 0.84 states/eV/atom

---

Winner for stability: model 1